# ZrAl2Hg | the Alexandria database | PBEsol | relaxed
# Energy of formation in kJ per mole of atoms: -40
data_ZrAl2Hg
_chemical_formula_sum 'Zr1 Al2 Hg1'
_space_group_name_H-M_alt 'P 4/m m m'
_space_group_IT_number 123
_space_group_name_Hall '-P 4 2'
_cell_length_a 4.226
_cell_length_b 4.226
_cell_length_c 4.024
_cell_angle_alpha 90.00
_cell_angle_beta 90.00
_cell_angle_gamma 90.00
loop_
_atom_site_label
_atom_site_type_symbol
_atom_site_fract_x
_atom_site_fract_y
_atom_site_fract_z
Zr1 Zr 0.000 0.000 0.000
Al1 Al 0.000 0.500 0.500
Hg1 Hg 0.500 0.500 0.000


# Nd2Mn17C2 | the Alexandria database | PBEsol | relaxed
# Energy of formation in kJ per mole of atoms: 0
data_Nd2Mn17C2
_chemical_formula_sum 'Nd4 Mn34 C4'
_space_group_name_H-M_alt 'C 1 2/m 1'
_space_group_IT_number 12
_space_group_name_Hall '-C 2y'
_cell_length_a 9.398
_cell_length_b 8.515
_cell_length_c 6.345
_cell_angle_alpha 90.00
_cell_angle_beta 98.36
_cell_angle_gamma 90.00
loop_
_atom_site_label
_atom_site_type_symbol
_atom_site_fract_x
_atom_site_fract_y
_atom_site_fract_z
Nd1 Nd 0.142 0.000 0.340
Mn1 Mn 0.000 0.235 0.000
Mn2 Mn 0.000 0.500 0.500
Mn3 Mn 0.095 0.500 0.906
Mn4 Mn 0.102 0.265 0.663
Mn5 Mn 0.142 0.364 0.279
Mn6 Mn 0.154 0.000 0.870
Mn7 Mn 0.250 0.250 0.000
C1 C 0.250 0.250 0.500


# Sc2W3O12 | the Alexandria database | PBEsol | relaxed
# ΔE to the lowest computed polymorph in eV per atom: 0.003
# Formation energy (no corrections) in kJ/mol of formula units: -4177
data_Sc2W3O12
_chemical_formula_sum 'Sc4 W6 O24'
_space_group_name_H-M_alt 'P 1 2/c 1'
_space_group_IT_number 13
_space_group_name_Hall '-P 2yc'
_cell_length_a 6.893
_cell_length_b 5.749
_cell_length_c 10.805
_cell_angle_alpha 90.00
_cell_angle_beta 107.13
_cell_angle_gamma 90.00
loop_
_atom_site_label
_atom_site_type_symbol
_atom_site_fract_x
_atom_site_fract_y
_atom_site_fract_z
Sc1 Sc 0.187 0.165 0.096
W1 W 0.000 0.319 0.750
W2 W 0.335 0.325 0.428
O1 O 0.140 0.130 0.458
O2 O 0.144 0.385 0.930
O3 O 0.170 0.119 0.711
O4 O 0.190 0.393 0.244
O5 O 0.471 0.405 0.595
O6 O 0.488 0.131 0.110


# NaZn2In2 | the Alexandria database | PBEsol | relaxed
# Energy of formation in kJ per mole of atoms: 1
data_NaZn2In2
_chemical_formula_sum 'Na2 Zn4 In4'
_space_group_name_H-M_alt 'I 4/m m m'
_space_group_IT_number 139
_space_group_name_Hall '-I 4 2'
_cell_length_a 4.081
_cell_length_b 4.081
_cell_length_c 12.998
_cell_angle_alpha 90.00
_cell_angle_beta 90.00
_cell_angle_gamma 90.00
loop_
_atom_site_label
_atom_site_type_symbol
_atom_site_fract_x
_atom_site_fract_y
_atom_site_fract_z
Na1 Na 0.000 0.000 0.000
Zn1 Zn 0.000 0.500 0.250
In1 In 0.000 0.000 0.390


# Cs3Li2F5 | the Alexandria database | PBEsol | relaxed
# Formation energy (no corrections) in kJ/mol of formula units: -2667
data_Cs3Li2F5
_chemical_formula_sum 'Cs6 Li4 F10'
_space_group_name_H-M_alt 'I 4/m m m'
_space_group_IT_number 139
_space_group_name_Hall '-I 4 2'
_cell_length_a 4.074
_cell_length_b 4.074
_cell_length_c 22.028
_cell_angle_alpha 90.00
_cell_angle_beta 90.00
_cell_angle_gamma 90.00
loop_
_atom_site_label
_atom_site_type_symbol
_atom_site_fract_x
_atom_site_fract_y
_atom_site_fract_z
Cs1 Cs 0.000 0.000 0.000
Cs2 Cs 0.000 0.000 0.363
Li1 Li 0.000 0.000 0.223
F1 F 0.000 0.000 0.138
F2 F 0.000 0.000 0.500
F3 F 0.000 0.500 0.250


# YZnPt2 | the Alexandria database | PBEsol | relaxed
# Energy of formation in kJ per mole of atoms: -80
data_YZnPt2
_chemical_formula_sum 'Y2 Zn2 Pt4'
_space_group_name_H-M_alt 'I -4 m 2'
_space_group_IT_number 119
_space_group_name_Hall 'I -4 -2'
_cell_length_a 3.954
_cell_length_b 3.954
_cell_length_c 8.668
_cell_angle_alpha 90.00
_cell_angle_beta 90.00
_cell_angle_gamma 90.00
loop_
_atom_site_label
_atom_site_type_symbol
_atom_site_fract_x
_atom_site_fract_y
_atom_site_fract_z
Y1 Y 0.000 0.000 0.000
Zn1 Zn 0.000 0.500 0.750
Pt1 Pt 0.000 0.000 0.500
Pt2 Pt 0.000 0.500 0.250


# ReBiH2 | the Alexandria database | PBEsol | relaxed
# E_tot in Ha/atom: -0.170
data_ReBiH2
_chemical_formula_sum 'Re4 Bi4 H8'
_space_group_name_H-M_alt 'F m -3 m'
_space_group_IT_number 225
_space_group_name_Hall '-F 4 2 3'
_cell_length_a 5.741
_cell_length_b 5.741
_cell_length_c 5.741
_cell_angle_alpha 90.00
_cell_angle_beta 90.00
_cell_angle_gamma 90.00
loop_
_atom_site_label
_atom_site_type_symbol
_atom_site_fract_x
_atom_site_fract_y
_atom_site_fract_z
Re1 Re 0.000 0.000 0.000
Bi1 Bi 0.000 0.000 0.500
H1 H 0.250 0.250 0.250


# BaBe3Rh | the Alexandria database | PBEsol | relaxed
# Energy of formation in kJ per mole of atoms: 4
data_BaBe3Rh
_chemical_formula_sum 'Ba1 Be3 Rh1'
_space_group_name_H-M_alt 'P m -3 m'
_space_group_IT_number 221
_space_group_name_Hall '-P 4 2 3'
_cell_length_a 4.454
_cell_length_b 4.454
_cell_length_c 4.454
_cell_angle_alpha 90.00
_cell_angle_beta 90.00
_cell_angle_gamma 90.00
loop_
_atom_site_label
_atom_site_type_symbol
_atom_site_fract_x
_atom_site_fract_y
_atom_site_fract_z
Ba1 Ba 0.000 0.000 0.000
Be1 Be 0.000 0.500 0.500
Rh1 Rh 0.500 0.500 0.500


What did the fifth record say?
# Cs3Li2F5 | the Alexandria database | PBEsol | relaxed
# Formation energy (no corrections) in kJ/mol of formula units: -2667
data_Cs3Li2F5
_chemical_formula_sum 'Cs6 Li4 F10'
_space_group_name_H-M_alt 'I 4/m m m'
_space_group_IT_number 139
_space_group_name_Hall '-I 4 2'
_cell_length_a 4.074
_cell_length_b 4.074
_cell_length_c 22.028
_cell_angle_alpha 90.00
_cell_angle_beta 90.00
_cell_angle_gamma 90.00
loop_
_atom_site_label
_atom_site_type_symbol
_atom_site_fract_x
_atom_site_fract_y
_atom_site_fract_z
Cs1 Cs 0.000 0.000 0.000
Cs2 Cs 0.000 0.000 0.363
Li1 Li 0.000 0.000 0.223
F1 F 0.000 0.000 0.138
F2 F 0.000 0.000 0.500
F3 F 0.000 0.500 0.250